## YAs2Os (PBE-GGA)

Data for YAs2Os after structural relaxation.

Cell lengths 4.681, 4.681, 4.681 Å; angles 60.00, 60.00, 60.00 degrees
Element x y z (fractional)
Os 0.500 0.500 0.500
As 0.750 0.750 0.750
As 0.250 0.250 0.250
Y 0.000 0.000 0.000

Its formation energy is -0.212 eV per atom. The value obtained for the theoretical density is 9.82 g/cm3. The energy above the most stable polymorph in this dataset comes out at 328 meV per atom. Its crystal system is cubic.

***

## KAlCu (PBE-GGA)

Data for KAlCu after structural relaxation.

Cell lengths 5.191, 5.191, 5.191 Å; angles 60.00, 60.00, 60.00 degrees
Element x y z (fractional)
Cu 0.500 0.500 0.500
Al 0.000 0.000 0.000
K 0.750 0.750 0.750

Its formation energy is 1.079 eV per atom. The value obtained for the theoretical density is 2.18 g/cm3. The energy above the most stable polymorph in this dataset comes out at 909 meV per atom. Its crystal system is cubic.